Below is MnWCl2 after structural relaxation, with properties calculated at the PBE-GGA level.

Properties
The calculation puts the uncorrected formation energy at -1.10 eV per formula unit. The excess energy over the best structure of this formula in the dataset is 0.0 meV/atom. As for the total energy: -6.729 eV per atom.

a b c (Å): 5.481 3.164 9.005
angles (deg): 90.00 103.03 90.00
Space group Cm (No. 8)
Symmetry-distinct sites (fractional):
Mn 0.000 0.000 0.000 (multiplicity 2)
W 0.414 0.000 0.217 (multiplicity 2)
Cl 0.099 0.500 0.816 (multiplicity 2)
Cl 0.152 0.000 0.411 (multiplicity 2)